The following is a DFT calculation (PBE) of a relaxed structure of BaZnCdAg2.

Cell lengths 4.6612, 4.6832, 11.6839 Å; angles 90.00, 90.00, 90.00 degrees
Space group Imm2 (No. 44)
Inequivalent atoms, fractional coordinates:
Ba  0.0000  0.0000  0.0000 [2 per cell]
Zn  0.0000  0.0000  0.6188 [2 per cell]
Cd  0.0000  0.5000  0.7470 [2 per cell]
Ag  0.0000  0.0000  0.3912 [2 per cell]
Ag  0.0000  0.5000  0.2430 [2 per cell]

Summary:
Relative energy among the computed polymorphs (meV/atom): 0.0

The following is a DFT calculation (PBE) of a relaxed structure of Ba3Zn2CdAg6.

Cell lengths 6.8271, 6.8271, 8.7710 Å; angles 90.00, 90.00, 120.00 degrees
Space group P-3m1 (No. 164)
Inequivalent atoms, fractional coordinates:
Ba  0.0000  0.0000  0.0000 [1 per cell]
Ba  0.3333  0.6667  0.6653 [2 per cell]
Zn  0.3333  0.6667  0.0618 [2 per cell]
Cd  0.0000  0.0000  0.5000 [1 per cell]
Ag  0.1919  0.3838  0.3037 [6 per cell]

The following is a DFT calculation (PBE) of a relaxed structure of Ba2ZnCd4Ag3.

Cell lengths 4.7301, 4.7301, 12.1390 Å; angles 90.00, 90.00, 90.00 degrees
Space group P-4m2 (No. 115)
Inequivalent atoms, fractional coordinates:
Ba  0.0000  0.5000  0.2463 [2 per cell]
Zn  0.5000  0.5000  0.0000 [1 per cell]
Cd  0.0000  0.0000  0.5000 [1 per cell]
Cd  0.0000  0.5000  0.8732 [2 per cell]
Cd  0.5000  0.5000  0.5000 [1 per cell]
Ag  0.0000  0.0000  0.0000 [1 per cell]
Ag  0.0000  0.5000  0.6387 [2 per cell]

The following is a DFT calculation (PBE) of a relaxed structure of BaZnCd2Ag.

Cell lengths 4.7298, 4.7568, 11.8332 Å; angles 90.00, 90.00, 90.00 degrees
Space group Imm2 (No. 44)
Inequivalent atoms, fractional coordinates:
Ba  0.0000  0.0000  0.0000 [2 per cell]
Zn  0.0000  0.0000  0.6193 [2 per cell]
Cd  0.0000  0.0000  0.3835 [2 per cell]
Cd  0.0000  0.5000  0.2412 [2 per cell]
Ag  0.0000  0.5000  0.7376 [2 per cell]

Summary:
Relative energy among the computed polymorphs (meV/atom): 0.0

The following is a DFT calculation (PBE) of a relaxed structure of BaZnCd2Ag2.

Cell lengths 5.3749, 5.3749, 12.1039 Å; angles 90.00, 90.00, 90.00 degrees
Space group I4/mmm (No. 139)
Inequivalent atoms, fractional coordinates:
Ba  0.0000  0.0000  0.0000 [2 per cell]
Zn  0.0000  0.0000  0.5000 [2 per cell]
Cd  0.0000  0.5000  0.2500 [4 per cell]
Ag  0.0000  0.0000  0.2942 [4 per cell]

The following is a DFT calculation (PBE) of a relaxed structure of Ba3ZnCd2Ag6.

Cell lengths 6.8255, 6.8255, 8.8880 Å; angles 90.00, 90.00, 120.00 degrees
Space group P-3m1 (No. 164)
Inequivalent atoms, fractional coordinates:
Ba  0.0000  0.0000  0.0000 [1 per cell]
Ba  0.3333  0.6667  0.7229 [2 per cell]
Zn  0.0000  0.0000  0.5000 [1 per cell]
Cd  0.3333  0.6667  0.1096 [2 per cell]
Ag  0.1940  0.3879  0.3754 [6 per cell]

The following is a DFT calculation (PBE) of a relaxed structure of BaZnCd2Ag.

Cell lengths 5.1297, 5.1297, 6.2088 Å; angles 90.00, 90.00, 90.00 degrees
Space group P4/mmm (No. 123)
Inequivalent atoms, fractional coordinates:
Ba  0.0000  0.0000  0.0000 [1 per cell]
Zn  0.0000  0.0000  0.5000 [1 per cell]
Cd  0.0000  0.5000  0.5000 [2 per cell]
Ag  0.5000  0.5000  0.0000 [1 per cell]

Summary:
Relative energy among the computed polymorphs (meV/atom): 342.9

The following is a DFT calculation (PBE) of a relaxed structure of BaZnCdAg2.

Cell lengths 5.1575, 5.1575, 5.1049 Å; angles 90.00, 90.00, 90.00 degrees
Space group P4/mmm (No. 123)
Inequivalent atoms, fractional coordinates:
Ba  0.0000  0.0000  0.0000 [1 per cell]
Zn  0.5000  0.5000  0.5000 [1 per cell]
Cd  0.5000  0.5000  0.0000 [1 per cell]
Ag  0.0000  0.5000  0.5000 [2 per cell]

Summary:
Relative energy among the computed polymorphs (meV/atom): 132.3

no.,ΔH_f (0 K) (eV per atom)
1,-0.21
2,-0.08
3,-0.22
4,-0.21
5,-0.03
6,-0.14
7,0.13
8,-0.08